Entry from Alexandria via LeMat-Bulk: a relaxed Pm5PuPb8 crystal (PBE-GGA).

Cell lengths 9.655, 9.655, 9.336 Å; angles 90.00, 90.00, 90.00 degrees
Space group I-4 (No. 82)
Unique sites:
Pm  0.000  0.000  0.000 (multiplicity 2)
Pm  0.119  0.225  0.626 (multiplicity 8)
Pu  0.000  0.500  0.250 (multiplicity 2)
Pb  0.070  0.342  0.951 (multiplicity 8)
Pb  0.091  0.183  0.281 (multiplicity 8)

Results
**ΔH_f (0 K)**: -326 meV per atom
**Energy**: -144.6 eV for the cell shown